[1]
{"formula": "LuIn2Pd", "functional": "GGA-PBEsol", "state": "relaxed", "rho_g_cm3": 10.392, "formation_enthalpy_0k_kj_per_mol_fu": -263, "lattice": [[9.008, 0.000, 0.000], [4.504, 9.521, 0.000], [4.504, 0.000, 9.521]], "species": ["Lu", "In", "In", "In", "Pd", "In", "Pd", "In", "Lu", "Lu", "In", "Lu", "Lu", "In", "In", "In", "Lu", "In", "Pd", "In", "Pd", "Pd", "Lu", "In", "Pd", "Pd", "Pd", "Lu", "Lu", "In", "In", "In", "Pd", "In", "In", "Lu", "Pd", "In", "In", "In"], "frac_coords": [[0.921, 0.000, 0.404], [0.730, 0.491, 0.794], [0.282, 0.163, 0.837], [0.014, 0.509, 0.206], [0.765, 0.212, 0.212], [0.519, 0.617, 0.617], [0.977, 0.212, 0.788], [0.014, 0.206, 0.509], [0.325, 0.596, 0.000], [0.607, 0.721, 0.279], [0.645, 0.257, 0.000], [0.887, 0.721, 0.721], [0.921, 0.404, 0.000], [0.119, 0.163, 0.163], [0.645, 0.000, 0.257], [0.136, 0.383, 0.617], [0.325, 0.000, 0.596], [0.136, 0.617, 0.383], [0.977, 0.788, 0.212], [0.220, 0.794, 0.509], [0.308, 0.323, 0.000], [0.631, 0.677, 0.000], [0.328, 0.279, 0.279], [0.902, 0.743, 0.000], [0.308, 0.000, 0.323], [0.189, 0.788, 0.788], [0.886, 0.500, 0.500], [0.536, 0.000, 0.000], [0.607, 0.279, 0.721], [0.282, 0.837, 0.163], [0.220, 0.509, 0.794], [0.523, 0.206, 0.491], [0.631, 0.000, 0.677], [0.753, 0.383, 0.383], [0.730, 0.794, 0.491], [0.013, 0.000, 0.000], [0.386, 0.500, 0.500], [0.444, 0.837, 0.837], [0.523, 0.491, 0.206], [0.902, 0.000, 0.743]]}

***

[2]
{"formula": "PmLuIn2", "functional": "GGA-PBEsol", "state": "relaxed", "rho_g_cm3": 8.980, "formation_enthalpy_0k_kj_per_mol_fu": -189, "lattice": [[5.238, 0.000, 0.000], [2.619, 4.536, 0.000], [2.619, 1.512, 4.277]], "species": ["Lu", "In", "Pm", "In"], "frac_coords": [[0.000, 0.000, 0.000], [0.750, 0.750, 0.750], [0.500, 0.500, 0.500], [0.250, 0.250, 0.250]]}

***

[3]
{"formula": "LuInPt2", "functional": "GGA-PBEsol", "state": "relaxed", "rho_g_cm3": 15.597, "formation_enthalpy_0k_kj_per_mol_fu": -368, "lattice": [[4.678, 0.000, 0.000], [2.339, 4.051, 0.000], [2.339, 1.350, 3.820]], "species": ["Pt", "In", "Pt", "Lu"], "frac_coords": [[0.250, 0.250, 0.250], [0.000, 0.000, 0.000], [0.750, 0.750, 0.750], [0.500, 0.500, 0.500]]}

***

> Number 3 is which compound?

LuInPt2